Entry 1:
The following is a PBE-GGA calculation of an optimized crystal structure of RbGaAg4, from Alexandria via LeMat-Bulk.

CIF file:
```
data_RbGaAg4
_symmetry_space_group_name_H-M 'F -4 3 m'
_symmetry_Int_Tables_number 216
_symmetry_space_group_name_Hall 'F -4 2 3'
_cell_length_a 8.208
_cell_length_b 8.208
_cell_length_c 8.208
_cell_angle_alpha 90.00
_cell_angle_beta 90.00
_cell_angle_gamma 90.00
loop_
_atom_site_label
_atom_site_fract_x
_atom_site_fract_y
_atom_site_fract_z
Rb1 0.000 0.000 0.000
Ga1 0.250 0.250 0.250
Ag1 0.124 0.124 0.624
```

Results
**Energy above the lowest structure with this stoichiometry**: 12.84 kJ/mol of atoms
**Volume**: 23.041 Å³/atom
**Energy**: -2.379 eV per atom
**Formation energy**: 0.188 eV per atom

Entry 2:
The following is a PBE-GGA calculation of an optimized crystal structure of AcLaZn2Pd5, from Alexandria via LeMat-Bulk.

CIF file:
```
data_AcLaZn2Pd5
_symmetry_space_group_name_H-M 'P 4/m m m'
_symmetry_Int_Tables_number 123
_symmetry_space_group_name_Hall '-P 4 2'
_cell_length_a 4.322
_cell_length_b 4.322
_cell_length_c 9.545
_cell_angle_alpha 90.00
_cell_angle_beta 90.00
_cell_angle_gamma 90.00
loop_
_atom_site_label
_atom_site_fract_x
_atom_site_fract_y
_atom_site_fract_z
Ac1 0.000 0.000 0.000
La1 0.000 0.000 0.500
Zn1 0.500 0.500 0.369
Pd1 0.000 0.500 0.230
Pd2 0.500 0.500 0.000
```

Results
**Volume**: 19.815 Å³/atom
**Energy**: -4.837 eV per atom
**Formation energy**: -0.665 eV per atom

Entry 3:
The following is a PBE-GGA calculation of an optimized crystal structure of CdGaRh2, from Alexandria via LeMat-Bulk.

CIF file:
```
data_CdGaRh2
_symmetry_space_group_name_H-M 'P 4/m m m'
_symmetry_Int_Tables_number 123
_symmetry_space_group_name_Hall '-P 4 2'
_cell_length_a 4.443
_cell_length_b 4.443
_cell_length_c 3.122
_cell_angle_alpha 90.00
_cell_angle_beta 90.00
_cell_angle_gamma 90.00
loop_
_atom_site_label
_atom_site_fract_x
_atom_site_fract_y
_atom_site_fract_z
Cd1 0.000 0.000 0.000
Ga1 0.500 0.500 0.000
Rh1 0.000 0.500 0.500
```

Results
**Volume**: 15.412 Å³/atom
**Energy**: -5.025 eV per atom
**Formation energy**: -0.363 eV per atom

Entry 4:
The following is a PBE-GGA calculation of an optimized crystal structure of YTeRh2, from Alexandria via LeMat-Bulk.

CIF file:
```
data_YTeRh2
_symmetry_space_group_name_H-M 'R -3 m'
_symmetry_Int_Tables_number 166
_symmetry_space_group_name_Hall '-R 3 2"'
_cell_length_a 4.5348
_cell_length_b 4.5348
_cell_length_c 13.4704
_cell_angle_alpha 90.00
_cell_angle_beta 90.00
_cell_angle_gamma 120.00
loop_
_atom_site_label
_atom_site_fract_x
_atom_site_fract_y
_atom_site_fract_z
Y1 0.0000 0.0000 0.0000
Te1 0.0000 0.0000 0.5000
Rh1 0.0000 0.0000 0.2144
```

Results
**Energy above the lowest structure with this stoichiometry**: 0.00 kJ/mol of atoms
**Volume**: 19.992 Å³/atom
**Energy**: -6.692 eV per atom
**Uncorrected formation energy**: -0.615 eV/atom

Question: What is the energy in the first record?
Answer: -2.379 eV per atom